Record 1
The following is a DFT calculation (PBE-GGA) of a relaxed structure of La3Sm2YSe6.

abc: 7.296 12.679 7.347
angles: 90.00 109.42 90.00
Space group C2/m (No. 12)
Unique sites:
La 0.000 0.000 0.000 [2 per cell]
La 0.000 0.331 0.000 [4 per cell]
Sm 0.000 0.167 0.500 [4 per cell]
Y 0.000 0.500 0.500 [2 per cell]
Se 0.243 0.336 0.737 [8 per cell]
Se 0.249 0.500 0.261 [4 per cell]

* E_form (uncorrected): -1907 meV/atom

Record 2
The following is a DFT calculation (PBE-GGA) of a relaxed structure of KZrSb2Te.

abc: 5.627 5.627 5.722
angles: 90.00 90.00 90.00
Space group P4/mmm (No. 123)
Unique sites:
K 0.000 0.000 0.000 [1 per cell]
Zr 0.500 0.500 0.500 [1 per cell]
Sb 0.000 0.500 0.500 [2 per cell]
Te 0.500 0.500 0.000 [1 per cell]

* E_form (uncorrected): -325 meV/atom